A plane-wave DFT calculation with PBE was carried out for a relaxed SrMg2SnPt crystal.

Lattice parameters (Å, degrees): 4.524 4.524 12.126 90.00 90.00 90.00
Space group I4mm (No. 107)
One atom of each set of equivalent atoms:
Sr: 0.000 0.000 0.000 [2 per cell]
Mg: 0.000 0.500 0.237 [4 per cell]
Sn: 0.000 0.000 0.393 [2 per cell]
Pt: 0.000 0.000 0.614 [2 per cell]

Properties
- spin magnetization (μB per formula unit) = 0.01
- crystal system = tetragonal
- total energy (eV/atom) = -3.58